Mn3H2O6 | PBE+U | optimized geometry

Structure (POSCAR):
```
Mn3H2O6
1.0
7.487 -1.476 0.000
7.487 1.476 0.000
-0.012 0.000 4.678
Mn H O
3 2 6
direct
0.000 0.000 0.000
0.356 0.356 0.532
0.644 0.644 0.468
0.178 0.178 0.895
0.822 0.822 0.105
0.116 0.116 0.211
0.202 0.202 0.695
0.457 0.457 0.227
0.543 0.543 0.773
0.798 0.798 0.305
0.884 0.884 0.789
```

Properties
Its total energy is -73.91 eV for the cell shown.